Entry 1:
First-principles (PBE) data for an optimized crystal structure of Pr2PaSn, as listed in the Alexandria database.

Its space group is P4/mmm (123).

Cell: 4.028 4.028 7.200 Å, 90.00 90.00 90.00°
Positions (direct):
Pr1 0.000 0.000 0.232
Pr2 0.000 0.000 0.768
Pa1 0.500 0.500 0.500
Sn1 0.500 0.500 0.000

***

Entry 2:
First-principles (PBE) data for an optimized crystal structure of Dy2MgAg6, as listed in the Alexandria database.

Its space group is C2/m (12).

Cell: 8.283 8.283 5.224 Å, 98.94 98.94 143.18°
Positions (direct):
Dy1 0.163 0.837 0.000
Dy2 0.837 0.163 0.000
Mg1 0.000 0.000 0.500
Ag1 0.166 0.497 0.665
Ag2 0.351 0.351 0.182
Ag3 0.497 0.166 0.665
Ag4 0.503 0.834 0.335
Ag5 0.649 0.649 0.818
Ag6 0.834 0.503 0.335

***

Number 1: E_form -0.1084 eV/atom. Number 2: E_form -0.2174 eV/atom.